! MnIn2Si, PBEsol geometry, DFT meta-GGA SCAN; values from VASP
&SYSTEM
  ibrav = 0, nat = 4, ntyp = 3
/
ATOMIC_SPECIES
In 114.82 In.upf
Mn 54.94 Mn.upf
Si 28.09 Si.upf
CELL_PARAMETERS angstrom
-2.474 -1.003 -1.329
2.691 -1.305 -4.023
0.772 -4.537 1.988
ATOMIC_POSITIONS crystal
In 0.000 0.000 0.500
In 0.000 0.500 0.000
Mn 0.500 0.500 0.500
Si 0.500 0.000 0.000
! DOS(E_F)   0.56 states/eV per atom
! Relative energy among the computed polymorphs   0.0 kJ per mole of atoms

! SrMg3, PBEsol geometry, DFT meta-GGA SCAN; values from VASP
&SYSTEM
  ibrav = 0, nat = 4, ntyp = 2
/
ATOMIC_SPECIES
Mg 24.30 Mg.upf
Sr 87.62 Sr.upf
CELL_PARAMETERS angstrom
-2.387 2.579 -0.017
-3.394 -0.744 0.525
-0.563 1.943 10.875
ATOMIC_POSITIONS crystal
Mg 0.242 0.242 0.273
Mg 0.500 0.500 0.500
Mg 0.758 0.758 0.727
Sr 0.000 0.000 0.000
! DOS(E_F)   0.60 states/eV per atom
! Total DFT energy (no corrections)   -0.6695 Ry/atom

- Look up the DOS(E_F) of the first one.
  0.56 states/eV per atom